# NaCoP3 PBE-GGA optimized geometry
data_NaCoP3
_chemical_formula_sum 'Na1 Co1 P3'
_cell_length_a 4.683
_cell_length_b 4.683
_cell_length_c 4.683
_cell_angle_alpha 90.00
_cell_angle_beta 90.00
_cell_angle_gamma 90.00
_space_group_name_H-M_alt 'P m -3 m'
_space_group_IT_number 221
_space_group_name_Hall '-P 4 2 3'
loop_
_atom_site_label
_atom_site_fract_x
_atom_site_fract_y
_atom_site_fract_z
Na1 0.000 0.000 0.000
Co1 0.500 0.500 0.500
P1 0.000 0.000 0.500
# E_form, meV per atom: 1949
# Energy above the most stable polymorph in this dataset, eV per atom: 1.633
# ρ, g/cm3: 2.83